Sr2Ga2F: relaxed, GGA-PBE.

CIF file:
```
data_Sr2Ga2F
_chemical_formula_sum 'Sr4 Ga4 F2'
_cell_length_a 7.371
_cell_length_b 7.371
_cell_length_c 5.173
_cell_angle_alpha 90.00
_cell_angle_beta 90.00
_cell_angle_gamma 90.00
_space_group_name_H-M_alt 'P 4/m b m'
_space_group_IT_number 127
_space_group_name_Hall '-P 4 2ab'
loop_
_atom_site_label
_atom_site_type_symbol
_atom_site_fract_x
_atom_site_fract_y
_atom_site_fract_z
Sr1 Sr 0.190 0.310 0.000
Ga1 Ga 0.117 0.617 0.500
F1 F 0.000 0.000 0.000
```

Output
The value obtained for the energy above the most stable polymorph in this dataset is 0 meV per atom. The total energy comes out at -33.73 eV per cell. The total magnetic moment comes out at 0.09 μB/atom. For the formation energy from raw total energies, the calculation gives -1.12 eV/atom.